Material: CuAg7
Method: DFT, PBE-GGA
State: optimized geometry

Cell and atoms, written as CIF:
```
data_CuAg7
_space_group_name_H-M_alt 'P 1'
_space_group_IT_number 1
_cell_length_a 5.015
_cell_length_b 5.015
_cell_length_c 10.010
_cell_angle_alpha 100.19
_cell_angle_beta 100.19
_cell_angle_gamma 33.72
loop_
_space_group_symop_operation_xyz
'x,y,z'
loop_
_atom_site_label
_atom_site_fract_x
_atom_site_fract_y
_atom_site_fract_z
Cu1 0.000 0.000 0.000
Ag1 0.000 0.000 0.500
Ag2 0.246 0.246 0.372
Ag3 0.262 0.262 0.882
Ag4 0.492 0.492 0.238
Ag5 0.508 0.508 0.762
Ag6 0.738 0.738 0.118
Ag7 0.754 0.754 0.628
```

## Properties
Space-group type: C2/m, No. 12
DFT formation energy, eV/atom: 0.03
Energy relative to the lowest polymorph listed for this composition, meV/atom: 10

Material: TbZrAu6
Method: DFT, PBE-GGA
State: optimized geometry

Cell and atoms, written as CIF:
```
data_TbZrAu6
_space_group_name_H-M_alt 'P 1'
_space_group_IT_number 1
_cell_length_a 4.964
_cell_length_b 6.178
_cell_length_c 5.061
_cell_angle_alpha 90.00
_cell_angle_beta 90.00
_cell_angle_gamma 90.00
loop_
_space_group_symop_operation_xyz
'x,y,z'
loop_
_atom_site_label
_atom_site_fract_x
_atom_site_fract_y
_atom_site_fract_z
Tb1 0.000 0.000 0.000
Zr1 0.500 0.500 0.685
Au1 0.000 0.264 0.503
Au2 0.000 0.500 0.997
Au3 0.000 0.736 0.503
Au4 0.500 0.000 0.668
Au5 0.500 0.255 0.179
Au6 0.500 0.745 0.179
```

## Properties
Space-group type: Pmm2, No. 25
DFT formation energy, eV/atom: -0.61

Material: LiGdCdS3
Method: DFT, PBE-GGA
State: optimized geometry

Cell and atoms, written as CIF:
```
data_LiGdCdS3
_space_group_name_H-M_alt 'P 1'
_space_group_IT_number 1
_cell_length_a 6.568
_cell_length_b 6.568
_cell_length_c 10.889
_cell_angle_alpha 90.00
_cell_angle_beta 90.00
_cell_angle_gamma 144.78
loop_
_space_group_symop_operation_xyz
'x,y,z'
loop_
_atom_site_label
_atom_site_fract_x
_atom_site_fract_y
_atom_site_fract_z
Li1 0.247 0.753 0.750
Li2 0.753 0.247 0.250
Gd1 0.500 0.500 0.000
Gd2 0.500 0.500 0.500
Cd1 0.028 0.972 0.250
Cd2 0.972 0.028 0.750
S1 0.142 0.858 0.065
S2 0.142 0.858 0.435
S3 0.399 0.601 0.250
S4 0.601 0.399 0.750
S5 0.858 0.142 0.565
S6 0.858 0.142 0.935
```

## Properties
Space-group type: Cmcm, No. 63
Energy relative to the lowest polymorph listed for this composition, meV/atom: 147

Material: BaNaHg2
Method: DFT, PBE-GGA
State: optimized geometry

Cell and atoms, written as CIF:
```
data_BaNaHg2
_space_group_name_H-M_alt 'P 1'
_space_group_IT_number 1
_cell_length_a 9.805
_cell_length_b 9.805
_cell_length_c 9.805
_cell_angle_alpha 146.49
_cell_angle_beta 131.73
_cell_angle_gamma 60.03
loop_
_space_group_symop_operation_xyz
'x,y,z'
loop_
_atom_site_label
_atom_site_fract_x
_atom_site_fract_y
_atom_site_fract_z
Ba1 0.000 0.000 0.000
Ba2 0.334 0.334 0.000
Ba3 0.666 0.666 0.000
Na1 0.167 0.667 0.500
Na2 0.500 0.000 0.500
Na3 0.833 0.333 0.500
Hg1 0.082 0.833 0.249
Hg2 0.250 0.500 0.750
Hg3 0.416 0.167 0.249
Hg4 0.584 0.833 0.751
Hg5 0.750 0.500 0.250
Hg6 0.918 0.167 0.751
```

## Properties
Space-group type: Immm, No. 71
Energy relative to the lowest polymorph listed for this composition, meV/atom: 0

Material: CdCoPd2
Method: DFT, PBE-GGA
State: optimized geometry

Cell and atoms, written as CIF:
```
data_CdCoPd2
_space_group_name_H-M_alt 'P 1'
_space_group_IT_number 1
_cell_length_a 4.448
_cell_length_b 4.448
_cell_length_c 4.448
_cell_angle_alpha 60.00
_cell_angle_beta 60.00
_cell_angle_gamma 60.00
loop_
_space_group_symop_operation_xyz
'x,y,z'
loop_
_atom_site_label
_atom_site_fract_x
_atom_site_fract_y
_atom_site_fract_z
Cd1 0.000 0.000 0.000
Co1 0.750 0.750 0.750
Pd1 0.250 0.250 0.250
Pd2 0.500 0.500 0.500
```

## Properties
Space-group type: F-43m, No. 216
DFT formation energy, eV/atom: 0.05

Material: Lu2Ni
Method: DFT, PBE-GGA
State: optimized geometry

Cell and atoms, written as CIF:
```
data_Lu2Ni
_space_group_name_H-M_alt 'P 1'
_space_group_IT_number 1
_cell_length_a 8.058
_cell_length_b 8.058
_cell_length_c 8.058
_cell_angle_alpha 60.00
_cell_angle_beta 60.00
_cell_angle_gamma 60.00
loop_
_space_group_symop_operation_xyz
'x,y,z'
loop_
_atom_site_label
_atom_site_fract_x
_atom_site_fract_y
_atom_site_fract_z
Lu1 0.000 0.000 0.000
Lu2 0.000 0.000 0.500
Lu3 0.000 0.500 0.000
Lu4 0.500 0.000 0.000
Ni1 0.125 0.125 0.125
Ni2 0.875 0.875 0.875
```

## Properties
Space-group type: Fd-3m, No. 227
DFT formation energy, eV/atom: 1.01

Material: Cs2Sr2Zn3
Method: DFT, PBE-GGA
State: optimized geometry

Cell and atoms, written as CIF:
```
data_Cs2Sr2Zn3
_space_group_name_H-M_alt 'P 1'
_space_group_IT_number 1
_cell_length_a 10.307
_cell_length_b 10.307
_cell_length_c 10.307
_cell_angle_alpha 33.52
_cell_angle_beta 33.52
_cell_angle_gamma 33.52
loop_
_space_group_symop_operation_xyz
'x,y,z'
loop_
_atom_site_label
_atom_site_fract_x
_atom_site_fract_y
_atom_site_fract_z
Cs1 0.000 0.000 0.000
Cs2 0.498 0.498 0.498
Sr1 0.255 0.255 0.255
Sr2 0.742 0.742 0.742
Zn1 0.372 0.372 0.372
Zn2 0.624 0.624 0.624
Zn3 0.874 0.874 0.874
```

## Properties
Space-group type: R3m, No. 160

VASP energy, respectively: -2.9020 -4.7089 -4.5407 -1.3486 -4.5390 -3.8625 -1.0782 eV/atom.
V, respectively: 137.3 155.2 270.9 384.8 62.2 370.0 297.4 Å³ per cell.